1.
! Th2SiP, relaxed, DFT PBE; values from VASP
! - symmetry = R3m
! - electronic total energy (eV/atom) = -7.3285
&SYSTEM
  ibrav = 0, nat = 4, ntyp = 3
/
ATOMIC_SPECIES
Th 232.04 Th.upf
Si 28.09 Si.upf
P 30.97 P.upf
ATOMIC_POSITIONS crystal
Th 0.081 0.081 0.758
Th 0.253 0.253 0.242
Si 0.667 0.667 0.998
P 0.499 0.499 0.503
CELL_PARAMETERS angstrom
4.116 0.000 0.000
2.058 3.564 0.000
2.058 1.188 7.279

2.
! Th2SiP, relaxed, DFT PBE; values from VASP
! - symmetry = R-3m
! - electronic total energy (eV/atom) = -7.5023
&SYSTEM
  ibrav = 0, nat = 4, ntyp = 3
/
ATOMIC_SPECIES
P 30.97 P.upf
Si 28.09 Si.upf
Th 232.04 Th.upf
ATOMIC_POSITIONS crystal
P 0.500 0.500 0.500
Si 0.000 0.000 0.000
Th 0.751 0.751 0.747
Th 0.249 0.249 0.253
CELL_PARAMETERS angstrom
4.216 0.000 0.000
2.108 3.651 0.000
2.108 1.217 6.852

3.
! Ti3SiP, relaxed, DFT PBE; values from VASP
! - symmetry = Pmmn
! - electronic total energy (eV/atom) = -7.6792
&SYSTEM
  ibrav = 0, nat = 10, ntyp = 3
/
ATOMIC_SPECIES
Ti 47.87 Ti.upf
Si 28.09 Si.upf
P 30.97 P.upf
ATOMIC_POSITIONS crystal
Ti 0.750 0.750 0.074
Ti 0.250 0.250 0.926
Ti 0.750 0.993 0.680
Ti 0.750 0.507 0.680
Ti 0.250 0.007 0.320
Ti 0.250 0.493 0.320
Si 0.750 0.250 0.149
Si 0.250 0.750 0.851
P 0.750 0.750 0.414
P 0.250 0.250 0.586
CELL_PARAMETERS angstrom
3.678 -0.001 0.000
0.001 5.640 0.000
0.000 0.000 7.759

Among the records above, which one has the lowest electronic total energy? Ti3SiP

What is the formula in the third record? Ti3SiP

The lowest electronic total energy belongs to which entry? Ti3SiP

What is the electronic total energy in the third record? -7.6792 eV/atom